Record 1
The following is a DFT calculation (PBE) of an optimized crystal structure of DyReRu.

Cell and atoms, written as POSCAR:
```
DyReRu
1.0
-2.569 2.847 3.769
2.569 -2.847 3.769
2.569 2.847 -3.769
Dy Re Ru
2 2 2
Cartesian
0.000 1.423 0.922
2.569 1.423 2.847
1.285 1.423 -1.884
1.285 -1.423 1.884
2.569 0.000 0.000
0.000 0.000 3.769
```

relative energy among the computed polymorphs	0.0	kJ per mole of atoms
calculated formation energy	-0.80	eV per formula unit

***

Record 2
The following is a DFT calculation (PBE) of an optimized crystal structure of DyReSi2Ru.

Cell and atoms, written as POSCAR:
```
DyReSi2Ru
1.0
-2.090 2.090 4.883
2.090 -2.090 4.883
2.090 2.090 -4.883
Dy Re Si Ru
1 1 2 1
Cartesian
0.000 0.000 0.000
2.090 0.000 2.441
0.000 0.000 3.644
0.000 0.000 6.121
0.000 2.090 2.441
```

formation energy (no corrections)	-651	meV per atom

***

Record 3
The following is a DFT calculation (PBE) of an optimized crystal structure of DyReS.

Cell and atoms, written as POSCAR:
```
DyReS
1.0
5.119 -2.507 0.000
5.119 2.507 0.000
-1.335 0.000 4.966
Dy Re S
2 2 2
Cartesian
0.952 0.000 1.718
7.952 0.000 3.248
4.558 0.000 1.273
4.346 0.000 3.693
2.049 0.000 4.189
6.855 0.000 0.777
```

formation energy (no corrections)	-427	meV per atom

***

Record 4
The following is a DFT calculation (PBE) of an optimized crystal structure of DyReS2.

Cell and atoms, written as POSCAR:
```
DyReS2
1.0
1.647 0.951 8.558
-1.647 0.951 8.558
0.000 -1.902 8.558
Dy Re S
1 1 2
Cartesian
0.000 0.000 0.000
0.000 0.000 12.837
0.000 0.000 2.742
0.000 0.000 22.933
```

formation energy (no corrections)	-206	meV per atom

***

Record 5
The following is a DFT calculation (PBE) of an optimized crystal structure of DyScRe4.

Cell and atoms, written as POSCAR:
```
DyScRe4
1.0
0.000 3.785 3.785
3.785 0.000 3.785
3.785 3.785 0.000
Dy Sc Re
1 1 4
Cartesian
0.000 0.000 0.000
1.893 1.893 1.893
4.730 2.840 2.840
2.840 4.730 2.840
2.840 2.840 4.730
4.730 4.730 4.730
```

calculated formation energy	-1.35	eV per formula unit

***

Record 6
The following is a DFT calculation (PBE) of an optimized crystal structure of DySc2Re.

Cell and atoms, written as POSCAR:
```
DySc2Re
1.0
3.279 0.000 0.000
0.000 3.279 0.000
0.000 0.000 8.545
Dy Sc Re
1 2 1
Cartesian
0.000 0.000 0.000
1.640 1.640 2.720
1.640 1.640 5.825
0.000 0.000 4.273
```

calculated formation energy	0.05	eV per formula unit

***

Record 7
The following is a DFT calculation (PBE) of an optimized crystal structure of DyScRe.

Cell and atoms, written as POSCAR:
```
DyScRe
1.0
3.160 -6.063 0.000
3.160 6.063 0.000
0.000 0.000 7.610
Dy Sc Re
4 4 4
Cartesian
3.160 3.748 6.777
3.160 2.315 2.972
3.160 -2.315 4.638
3.160 -3.748 0.833
1.580 0.582 5.708
1.580 -0.582 1.903
4.739 0.582 5.708
4.739 -0.582 1.903
3.160 4.903 4.121
3.160 1.160 0.316
3.160 -1.160 7.294
3.160 -4.903 3.489
```

calculated formation energy	0.36	eV per formula unit

***

Record 8
The following is a DFT calculation (PBE) of an optimized crystal structure of DyReSi2.

Cell and atoms, written as POSCAR:
```
DyReSi2
1.0
7.180 0.000 0.000
0.000 3.977 0.000
0.000 0.000 9.926
Dy Re Si
4 4 8
Cartesian
1.041 0.994 1.286
2.549 2.983 6.249
4.631 0.994 3.677
6.139 2.983 8.641
0.119 2.983 3.940
3.470 0.994 8.903
3.709 2.983 1.023
7.060 0.994 5.986
1.103 0.994 8.054
1.577 0.994 4.251
2.013 2.983 9.215
2.487 2.983 3.091
4.693 0.994 6.835
5.166 0.994 0.712
5.603 2.983 5.675
6.076 2.983 1.872
```

formation energy (no corrections)	-578	meV per atom

***

Record 9
The following is a DFT calculation (PBE) of an optimized crystal structure of DyRe3Si3.

Cell and atoms, written as POSCAR:
```
DyRe3Si3
1.0
6.606 0.000 0.000
0.000 6.606 0.000
0.000 0.000 6.606
Dy Re Si
2 6 6
Cartesian
0.000 0.000 0.000
3.303 3.303 3.303
0.000 1.651 3.303
0.000 4.954 3.303
1.651 3.303 0.000
3.303 0.000 1.651
3.303 0.000 4.954
4.954 3.303 0.000
0.000 3.303 1.651
0.000 3.303 4.954
1.651 0.000 3.303
3.303 1.651 0.000
3.303 4.954 0.000
4.954 0.000 3.303
```

formation energy (no corrections)	464	meV per atom
relative energy among the computed polymorphs	74.9	kJ per mole of atoms

***

Record 10
The following is a DFT calculation (PBE) of an optimized crystal structure of DyReSi.

Cell and atoms, written as POSCAR:
```
DyReSi
1.0
2.027 1.170 4.620
-2.027 1.170 4.620
0.000 -2.340 4.620
Dy Re Si
1 1 1
Cartesian
0.000 0.000 0.000
0.000 0.000 6.719
0.000 0.000 10.989
```

formation energy (no corrections)	-63	meV per atom

***

Record 11
The following is a DFT calculation (PBE) of an optimized crystal structure of DyRe3Si2.

Cell and atoms, written as POSCAR:
```
DyRe3Si2
1.0
-2.038 3.919 6.266
2.038 -3.919 6.266
2.038 3.919 -6.266
Dy Re Si
2 6 4
Cartesian
0.000 0.000 1.594
0.000 0.000 10.938
2.038 2.302 -2.364
0.000 2.723 0.000
2.038 2.302 2.364
0.000 1.617 3.902
0.000 5.116 0.000
0.000 1.617 8.630
2.038 1.475 0.000
2.038 0.000 3.928
0.000 3.919 2.338
0.000 2.444 6.266
```

formation energy (no corrections)	-92	meV per atom

***

Record 12
The following is a DFT calculation (PBE) of an optimized crystal structure of DyReSi2.

Cell and atoms, written as POSCAR:
```
DyReSi2
1.0
2.306 1.331 3.603
-2.306 1.331 3.603
0.000 -2.663 3.603
Dy Re Si
1 1 2
Cartesian
0.000 0.000 0.000
0.000 0.000 5.404
0.000 0.000 2.767
0.000 0.000 8.041
```

formation energy (no corrections)	-150	meV per atom

***

DOS at the Fermi energy in states/eV/atom, matching the order above: 0.6590, 0.8637, 0.5233, 1.0574, 1.2184, 1.4132, 1.0611, 0.5708, 1.1029, 0.3828, 0.5856, 0.5263
Theoretical density in g/cm3, matching the order above: 13.5, 9.8, 9.9, 8.5, 14.6, 7.9, 9.0, 9.5, 9.3, 9.5, 12.9, 10.1